HfNiAsO6: optimized geometry, PBE with a Hubbard U.

Results
E_tot	-6.99	eV/atom

```
data_HfNiAsO6
_chemical_formula_sum 'Hf2 Ni2 As2 O12'
_space_group_name_H-M_alt 'P 1'
_space_group_IT_number 1
_space_group_name_Hall 'P 1'
_cell_length_a 4.676
_cell_length_b 4.676
_cell_length_c 9.098
_cell_angle_alpha 90.00
_cell_angle_beta 90.00
_cell_angle_gamma 90.00
loop_
_atom_site_label
_atom_site_type_symbol
_atom_site_fract_x
_atom_site_fract_y
_atom_site_fract_z
Hf1 Hf 0.500 0.500 0.171
Hf2 Hf 0.000 0.000 0.671
Ni1 Ni 0.500 0.500 0.500
Ni2 Ni 0.000 0.000 0.000
As1 As 0.500 0.500 0.834
As2 As 0.000 0.000 0.334
O1 O 0.187 0.813 0.485
O2 O 0.813 0.187 0.485
O3 O 0.313 0.313 0.985
O4 O 0.687 0.687 0.985
O5 O 0.185 0.815 0.181
O6 O 0.815 0.185 0.181
O7 O 0.315 0.315 0.681
O8 O 0.685 0.685 0.681
O9 O 0.782 0.218 0.831
O10 O 0.218 0.782 0.831
O11 O 0.718 0.718 0.331
O12 O 0.282 0.282 0.331
```